Th2Se3 | GGA-PBE | relaxed

- Space group: R-3m
- E_form (uncorrected): -1.614 eV/atom

Structure (POSCAR):
```
Th2Se3
1.0
-0.042 -3.477 2.431
2.890 -3.046 -0.605
7.337 2.529 7.448
Th Se
2 3
Direct
0.389 0.389 0.834 Th
0.611 0.611 0.166 Th
0.000 0.000 0.000 Se
0.773 0.773 0.682 Se
0.227 0.227 0.318 Se
```